Density functional theory data (PBE-GGA) for Tb4PtS3 after structural relaxation.

Summary:
**Crystal system**: orthorhombic
**Excess energy over the best structure of this formula in the dataset**: 0 meV/atom
**E_form (uncorrected)**: -1.7819 eV per atom
**DFT total energy**: -6.40 eV/atom

Cell: 3.9213 6.9578 6.9578 Å, 109.03 90.00 90.00°
Closest atoms and distances in Å follow each position.
Positions (direct):
Tb1 0.5000 0.7482 0.2518  5 S 2.81, 1 Pt 2.85
Tb2 0.0000 0.2488 0.2488  2 Pt 2.81, 4 S 2.82-2.83
Tb3 0.0000 0.7512 0.7512  2 Pt 2.81, 4 S 2.82-2.83
Tb4 0.5000 0.2518 0.7482  5 S 2.81, 1 Pt 2.85
S1 0.5000 0.5000 0.5000  6 Tb 2.81-2.82
S2 0.0000 0.5000 0.0000  6 Tb 2.81-2.83
S3 0.0000 0.0000 0.5000  6 Tb 2.81-2.83
Pt1 0.5000 0.0000 0.0000  6 Tb 2.81-2.85

Density functional theory data (PBE-GGA) for SiSbW2 after structural relaxation.

Summary:
**Crystal system**: trigonal
**Excess energy over the best structure of this formula in the dataset**: 378 meV/atom
**E_form (uncorrected)**: 0.5451 eV per atom
**DFT total energy**: -8.32 eV/atom

Cell: 8.5007 8.5007 8.5007 Å, 20.79 20.79 20.79°
Closest atoms and distances in Å follow each position.
Positions (direct):
W1 0.0066 0.0066 0.0066  3 Si 2.61, 3 Sb 2.86
W2 0.4934 0.4934 0.4934  3 Si 2.61, 3 Sb 2.86
Sb1 0.2500 0.2500 0.2500  6 W 2.86, 6 Sb 3.07
Si1 0.7500 0.7500 0.7500  6 W 2.61

Density functional theory data (PBE-GGA) for Pm5Tm after structural relaxation.

Summary:
**Crystal system**: orthorhombic
**Formation energy**: 16 meV per atom
**DFT total energy**: -4.69 eV/atom

Cell: 5.1192 5.1236 8.1058 Å, 108.42 90.00 90.00°
Closest atoms and distances in Å follow each position.
Positions (direct):
Pm1 0.0000 0.6653 0.3307  10 Pm 3.61-3.65, 2 Tm 3.61
Pm2 0.5000 0.8340 0.6680  2 Tm 3.62, 10 Pm 3.62-3.64
Pm3 0.5000 0.5000 0.0000  8 Pm 3.61-3.62, 4 Tm 3.62
Pm4 0.0000 0.3347 0.6693  10 Pm 3.61-3.65, 2 Tm 3.61
Pm5 0.5000 0.1660 0.3320  2 Tm 3.62, 10 Pm 3.62-3.64
Tm1 0.0000 0.0000 0.0000  12 Pm 3.61-3.62

Density functional theory data (PBE-GGA) for Nd2Tm6Hg after structural relaxation.

Summary:
**Crystal system**: orthorhombic
**Formation energy**: -7 meV per atom
**DFT total energy**: -4.08 eV/atom

Cell: 5.4339 9.6677 10.2026 Å, 90.00 89.97 90.00°
Closest atoms and distances in Å follow each position.
Positions (direct):
Tm1 0.4998 0.4818 0.6784  3 Nd 3.24-3.28, 1 Hg 3.29, 3 Tm 3.41-3.50
Tm2 0.9998 0.0182 0.1784  3 Nd 3.24-3.28, 1 Hg 3.29, 3 Tm 3.41-3.50
Tm3 0.0004 0.6802 0.5729  1 Hg 3.18, 3 Nd 3.32-3.48, 3 Tm 3.33-3.50
Tm4 0.5002 0.5182 0.3216  3 Nd 3.24-3.28, 1 Hg 3.29, 3 Tm 3.41-3.50
Tm5 0.0002 0.6384 0.8969  2 Hg 3.21, 3 Tm 3.33-3.41, 3 Nd 3.51-3.53
Tm6 0.9998 0.3616 0.1031  2 Hg 3.21, 3 Tm 3.33-3.41, 3 Nd 3.51-3.53
Tm7 0.5004 0.8198 0.0729  1 Hg 3.18, 3 Nd 3.32-3.48, 3 Tm 3.33-3.50
Tm8 0.9996 0.3198 0.4271  1 Hg 3.18, 3 Nd 3.32-3.48, 3 Tm 3.33-3.50
Tm9 0.4996 0.1802 0.9271  1 Hg 3.18, 3 Nd 3.32-3.48, 3 Tm 3.33-3.50
Tm10 0.5002 0.8616 0.3969  2 Hg 3.21, 3 Tm 3.33-3.41, 3 Nd 3.51-3.53
Tm11 0.0002 0.9818 0.8216  3 Nd 3.24-3.28, 1 Hg 3.29, 3 Tm 3.41-3.50
Tm12 0.4998 0.1384 0.6031  2 Hg 3.21, 3 Tm 3.33-3.41, 3 Nd 3.51-3.53
Nd1 0.5004 0.8092 0.7474  10 Tm 3.24-3.61
Nd2 0.4996 0.1908 0.2526  10 Tm 3.24-3.61
Nd3 0.9996 0.3092 0.7526  10 Tm 3.24-3.61
Nd4 0.0004 0.6908 0.2474  10 Tm 3.24-3.61
Hg1 0.5000 0.5000 0.0000  8 Tm 3.18-3.29
Hg2 0.0000 0.0000 0.5000  8 Tm 3.18-3.29

Density functional theory data (PBE-GGA) for La2Al5IrPd2 after structural relaxation.

Summary:
**Crystal system**: tetragonal
**Formation energy**: -594 meV per atom
**DFT total energy**: -5.38 eV/atom

Cell: 3.4106 10.6353 10.6353 Å, 90.00 90.00 90.00°
Closest atoms and distances in Å follow each position.
Positions (direct):
Pd1 0.0000 0.1216 0.6216  2 Al 2.50
Pd2 0.0000 0.8784 0.3784  2 Al 2.50
Pd3 0.0000 0.6216 0.8784  2 Al 2.50
Pd4 0.0000 0.3784 0.1216  2 Al 2.50
Ir1 0.0000 0.0000 0.0000  8 Al 2.63
Ir2 0.0000 0.5000 0.5000  8 Al 2.63
Al1 0.5000 0.8172 0.9535  2 Ir 2.63, 2 Pd 2.81, 2 Al 2.84
Al2 0.5000 0.0465 0.8172  2 Ir 2.63, 2 Pd 2.81, 2 Al 2.84
Al3 0.5000 0.5465 0.6828  2 Ir 2.63, 2 Pd 2.81, 2 Al 2.84
Al4 0.5000 0.1828 0.0465  2 Ir 2.63, 2 Pd 2.81, 2 Al 2.84
Al5 0.5000 0.0000 0.5000  4 Pd 2.50
Al6 0.5000 0.6828 0.4535  2 Ir 2.63, 2 Pd 2.81, 2 Al 2.84
Al7 0.5000 0.5000 0.0000  4 Pd 2.50
Al8 0.5000 0.9535 0.1828  2 Ir 2.63, 2 Pd 2.81, 2 Al 2.84
Al9 0.5000 0.3172 0.5465  2 Ir 2.63, 2 Pd 2.81, 2 Al 2.84
Al10 0.5000 0.4535 0.3172  2 Ir 2.63, 2 Pd 2.81, 2 Al 2.84
La1 0.0000 0.8147 0.6853  1 Pd 2.90
La2 0.0000 0.3147 0.8147  1 Pd 2.90
La3 0.0000 0.1853 0.3147  1 Pd 2.90
La4 0.0000 0.6853 0.1853  1 Pd 2.90

Density functional theory data (PBE-GGA) for ScTiH after structural relaxation.

Summary:
**Crystal system**: orthorhombic
**Excess energy over the best structure of this formula in the dataset**: 3 meV/atom
**DFT total energy**: -6.04 eV/atom

Cell: 9.9267 3.0850 5.3846 Å, 90.00 90.00 90.00°
Closest atoms and distances in Å follow each position.
Positions (direct):
H1 0.6431 0.7500 0.9115  3 Ti 2.08, 2 Sc 2.26
H2 0.1431 0.7500 0.5885  3 Ti 2.08, 2 Sc 2.26
H3 0.3569 0.2500 0.0885  3 Ti 2.08, 2 Sc 2.26
H4 0.8569 0.2500 0.4115  3 Ti 2.08, 2 Sc 2.26
Sc1 0.0015 0.2500 0.7512  3 H 2.26-2.32
Sc2 0.5015 0.2500 0.7488  3 H 2.26-2.32
Sc3 0.4985 0.7500 0.2512  3 H 2.26-2.32
Sc4 0.9985 0.7500 0.2488  3 H 2.26-2.32
Ti1 0.2511 0.7500 0.9184  3 H 2.08
Ti2 0.7489 0.2500 0.0816  3 H 2.08
Ti3 0.7511 0.7500 0.5816  3 H 2.08
Ti4 0.2489 0.2500 0.4184  3 H 2.08

Density functional theory data (PBE-GGA) for AcTc2C2 after structural relaxation.

Summary:
**Crystal system**: orthorhombic
**Formation energy**: -26 meV per atom
**DFT total energy**: -8.68 eV/atom

Cell: 5.6833 5.6833 5.9759 Å, 109.10 109.10 108.17°
Closest atoms and distances in Å follow each position.
Positions (direct):
Ac1 0.1250 0.3750 0.2500  6 C 2.94-3.06, 4 Tc 3.05
Ac2 0.8750 0.6250 0.7500  6 C 2.94-3.06, 4 Tc 3.05
Tc1 0.4874 0.7375 0.9750  4 C 2.11-2.15
Tc2 0.5126 0.2625 0.0250  4 C 2.11-2.15
Tc3 0.2375 0.9874 0.4750  4 C 2.11-2.15
Tc4 0.7625 0.0126 0.5250  4 C 2.11-2.15
C1 0.4449 0.0551 0.2500  4 Tc 2.11-2.15
C2 0.5551 0.9449 0.7500  4 Tc 2.11-2.15
C3 0.1950 0.3050 0.7500  4 Tc 2.11-2.15
C4 0.8050 0.6950 0.2500  4 Tc 2.11-2.15

Density functional theory data (PBE-GGA) for Mg6MnV after structural relaxation.

Summary:
**Crystal system**: orthorhombic
**Formation energy**: 263 meV per atom
**Excess energy over the best structure of this formula in the dataset**: 30 meV/atom
**DFT total energy**: -3.22 eV/atom

Cell: 6.1753 6.1753 4.9191 Å, 90.00 90.00 119.90°
Closest atoms and distances in Å follow each position.
Positions (direct):
Mg1 0.3264 0.6736 0.5000  10 Mg 2.99-3.19, 2 Mn 3.00
Mg2 0.6697 0.8315 0.0000  8 Mg 3.05-3.10, 2 Mn 3.05-3.12, 2 V 3.08-3.10
Mg3 0.3390 0.1639 0.5000  8 Mg 2.99-3.19, 2 V 3.02, 2 Mn 3.03
Mg4 0.1685 0.3303 0.0000  8 Mg 3.05-3.10, 2 Mn 3.05-3.12, 2 V 3.08-3.10
Mg5 0.8270 0.1730 0.5000  10 Mg 2.99-3.19, 2 V 2.99
Mg6 0.8361 0.6610 0.5000  8 Mg 2.99-3.19, 2 V 3.02, 2 Mn 3.03
V1 0.6679 0.3321 0.0000  10 Mg 2.99-3.10, 2 Mn 3.09
Mn1 0.1656 0.8344 0.0000  10 Mg 3.00-3.12, 2 V 3.09

Density functional theory data (PBE-GGA) for Y2ThGa after structural relaxation.

Summary:
**Crystal system**: tetragonal
**Formation energy**: -183 meV per atom
**Excess energy over the best structure of this formula in the dataset**: 107 meV/atom
**DFT total energy**: -6.03 eV/atom

Cell: 4.7310 4.8054 4.8054 Å, 90.00 90.00 90.00°
Closest atoms and distances in Å follow each position.
Positions (direct):
Ga1 0.5000 0.5000 0.5000  8 Y 3.37, 4 Th 3.40
Y1 0.0000 0.5000 0.0000  4 Ga 3.37, 4 Th 3.37, 4 Y 3.40
Y2 0.0000 0.0000 0.5000  4 Th 3.37, 4 Ga 3.37, 4 Y 3.40
Th1 0.5000 0.0000 0.0000  8 Y 3.37, 4 Ga 3.40

Density functional theory data (PBE-GGA) for EuSbAs2 after structural relaxation.

Summary:
**Crystal system**: trigonal
**Excess energy over the best structure of this formula in the dataset**: 16 meV/atom
**E_form (uncorrected)**: -0.4600 eV per atom
**DFT total energy**: -6.38 eV/atom

Cell: 4.1368 4.1368 7.5647 Å, 74.13 74.13 60.00°
Closest atoms and distances in Å follow each position.
Positions (direct):
Sb1 0.0000 0.0000 0.0000  6 As 2.93
As1 0.7452 0.7452 0.7643  3 Sb 2.93, 3 Eu 3.05
As2 0.2548 0.2548 0.2357  3 Sb 2.93, 3 Eu 3.05
Eu1 0.5000 0.5000 0.5000  6 As 3.05

Please write out number 1 again, unchanged.
Density functional theory data (PBE-GGA) for Tb4PtS3 after structural relaxation.

Summary:
**Crystal system**: orthorhombic
**Excess energy over the best structure of this formula in the dataset**: 0 meV/atom
**E_form (uncorrected)**: -1.7819 eV per atom
**DFT total energy**: -6.40 eV/atom

Cell: 3.9213 6.9578 6.9578 Å, 109.03 90.00 90.00°
Closest atoms and distances in Å follow each position.
Positions (direct):
Tb1 0.5000 0.7482 0.2518  5 S 2.81, 1 Pt 2.85
Tb2 0.0000 0.2488 0.2488  2 Pt 2.81, 4 S 2.82-2.83
Tb3 0.0000 0.7512 0.7512  2 Pt 2.81, 4 S 2.82-2.83
Tb4 0.5000 0.2518 0.7482  5 S 2.81, 1 Pt 2.85
S1 0.5000 0.5000 0.5000  6 Tb 2.81-2.82
S2 0.0000 0.5000 0.0000  6 Tb 2.81-2.83
S3 0.0000 0.0000 0.5000  6 Tb 2.81-2.83
Pt1 0.5000 0.0000 0.0000  6 Tb 2.81-2.85

Repeat the sixth record exactly.
Density functional theory data (PBE-GGA) for ScTiH after structural relaxation.

Summary:
**Crystal system**: orthorhombic
**Excess energy over the best structure of this formula in the dataset**: 3 meV/atom
**DFT total energy**: -6.04 eV/atom

Cell: 9.9267 3.0850 5.3846 Å, 90.00 90.00 90.00°
Closest atoms and distances in Å follow each position.
Positions (direct):
H1 0.6431 0.7500 0.9115  3 Ti 2.08, 2 Sc 2.26
H2 0.1431 0.7500 0.5885  3 Ti 2.08, 2 Sc 2.26
H3 0.3569 0.2500 0.0885  3 Ti 2.08, 2 Sc 2.26
H4 0.8569 0.2500 0.4115  3 Ti 2.08, 2 Sc 2.26
Sc1 0.0015 0.2500 0.7512  3 H 2.26-2.32
Sc2 0.5015 0.2500 0.7488  3 H 2.26-2.32
Sc3 0.4985 0.7500 0.2512  3 H 2.26-2.32
Sc4 0.9985 0.7500 0.2488  3 H 2.26-2.32
Ti1 0.2511 0.7500 0.9184  3 H 2.08
Ti2 0.7489 0.2500 0.0816  3 H 2.08
Ti3 0.7511 0.7500 0.5816  3 H 2.08
Ti4 0.2489 0.2500 0.4184  3 H 2.08

> The highest DFT total energy belongs to which entry?

Mg6MnV

> Look up the DFT total energy of the seventh one.

-8.68 eV/atom